Record 1
Below is an optimized crystal structure of Cr2TcW, with properties calculated at the GGA-PBE level.

Summary:
Its offset from the most stable computed form is 34 meV per atom.

a = 4.968 Å, b = 4.968 Å, c = 4.968 Å
α = 144.52°, β = 128.81°, γ = 63.82°
Positions (direct):
Cr1 0.247 0.247 0.000
Cr2 0.753 0.753 0.000
Tc1 0.500 0.000 0.500
W1 0.000 0.500 0.500

***

Record 2
Below is an optimized crystal structure of Cr2TcW, with properties calculated at the GGA-PBE level.

Summary:
Its offset from the most stable computed form is 26 meV per atom.

a = 4.274 Å, b = 4.274 Å, c = 4.274 Å
α = 60.00°, β = 60.00°, γ = 60.00°
Positions (direct):
Cr1 0.000 0.000 0.000
Cr2 0.250 0.250 0.250
Tc1 0.500 0.500 0.500
W1 0.750 0.750 0.750

***

Record 3
Below is an optimized crystal structure of Cr2TcW, with properties calculated at the GGA-PBE level.

Summary:
Its offset from the most stable computed form is 60 meV per atom.

a = 2.648 Å, b = 4.189 Å, c = 5.023 Å
α = 90.00°, β = 100.28°, γ = 90.00°
Positions (direct):
Cr1 0.240 0.000 0.247
Cr2 0.760 0.000 0.753
Tc1 0.500 0.500 0.000
W1 0.000 0.500 0.500

***

Record 4
Below is an optimized crystal structure of Cr2TcW, with properties calculated at the GGA-PBE level.

Summary:
Its offset from the most stable computed form is 27 meV per atom.

a = 3.035 Å, b = 4.231 Å, c = 4.298 Å
α = 90.00°, β = 90.00°, γ = 90.00°
Positions (direct):
Cr1 0.000 0.000 0.000
Cr2 0.500 0.000 0.500
Tc1 0.000 0.500 0.500
W1 0.500 0.500 0.000

***

Record 5
Below is an optimized crystal structure of Cr2TcW, with properties calculated at the GGA-PBE level.

Summary:
Its offset from the most stable computed form is 76 meV per atom.

a = 2.639 Å, b = 2.639 Å, c = 8.378 Å
α = 90.00°, β = 90.00°, γ = 109.82°
Positions (direct):
Cr1 0.000 0.000 0.246
Cr2 0.000 0.000 0.754
Tc1 0.500 0.500 0.000
W1 0.500 0.500 0.500

***

Record 6
Below is an optimized crystal structure of Cr2TcW, with properties calculated at the GGA-PBE level.

Summary:
Its offset from the most stable computed form is 0 meV per atom.

a = 2.998 Å, b = 2.998 Å, c = 6.043 Å
α = 90.00°, β = 90.00°, γ = 90.00°
Positions (direct):
Cr1 0.000 0.000 0.000
Cr2 0.500 0.500 0.222
Tc1 0.000 0.000 0.477
W1 0.500 0.500 0.749

***

no.,E_form (eV/atom),theoretical density (g/cm³),uncorrected energy (eV/atom)
1,0.08,11.69,-10.558
2,0.08,11.61,-10.566
3,0.11,11.69,-10.532
4,0.08,11.61,-10.565
5,0.13,11.67,-10.516
6,0.05,11.80,-10.592